(1)
VASP calculation (PBE) on LaMnTc2 after structural relaxation.

Summary:
- Total magnetization: 1.5 μB/cell
- Crystal system: trigonal
- E_tot: -8.11 eV/atom
- Energy of formation from the pure elements: 0.595 eV/atom
- DOS(E_F): 1.017 states/eV per atom
- Offset from the most stable computed form: 0.380 eV per atom
- Symmetry: R-3m, No. 166

```
data_LaMnTc2
_chemical_formula_sum 'La1 Mn1 Tc2'
_cell_length_a 9.465
_cell_length_b 9.465
_cell_length_c 9.465
_cell_angle_alpha 17.82
_cell_angle_beta 17.82
_cell_angle_gamma 17.82
_symmetry_space_group_name_H-M 'P 1'
_symmetry_Int_Tables_number 1
_symmetry_space_group_name_Hall 'P 1'
loop_
_atom_site_label
_atom_site_fract_x
_atom_site_fract_y
_atom_site_fract_z
La1 0.000 0.000 0.000
Mn1 0.500 0.500 0.500
Tc1 0.235 0.235 0.235
Tc2 0.765 0.765 0.765
```



(2)
VASP calculation (PBE) on Nd2InHg4 after structural relaxation.

Summary:
- Total magnetization: 0.0 μB/cell
- Crystal system: tetragonal
- E_tot: -1.91 eV/atom
- Energy of formation from the pure elements: 0.011 eV/atom
- DOS(E_F): 1.013 states/eV per atom
- Offset from the most stable computed form: 0.350 eV per atom
- Symmetry: I4/mmm, No. 139

```
data_Nd2InHg4
_chemical_formula_sum 'Nd2 In1 Hg4'
_cell_length_a 8.780
_cell_length_b 8.780
_cell_length_c 8.780
_cell_angle_alpha 144.12
_cell_angle_beta 144.12
_cell_angle_gamma 51.65
_symmetry_space_group_name_H-M 'P 1'
_symmetry_Int_Tables_number 1
_symmetry_space_group_name_Hall 'P 1'
loop_
_atom_site_label
_atom_site_fract_x
_atom_site_fract_y
_atom_site_fract_z
Nd1 0.117 0.117 0.000
Nd2 0.883 0.883 0.000
In1 0.500 0.500 0.000
Hg1 0.000 0.500 0.500
Hg2 0.311 0.311 0.000
Hg3 0.500 0.000 0.500
Hg4 0.689 0.689 0.000
```



Which of these has the highest energy of formation from the pure elements?
LaMnTc2



Which value of total magnetization does entry 2 give?
0.0 μB/cell



Which value of energy of formation from the pure elements does entry 1 give?
0.595 eV/atom